Record 1
## SmTmGa2 (PBE)

Data for crystalline SmTmGa2 at its relaxed geometry.

Computed properties:
Calculated formation energy in meV per atom: -576.6

Unit cell a=3.5909 b=3.5909 c=7.1411 alpha=90.00 beta=90.00 gamma=90.00
Space group P4/mmm (No. 123)
Symmetry-distinct sites (fractional):
Sm 0.0000 0.0000 0.0000 x1
Tm 0.0000 0.0000 0.5000 x1
Ga 0.5000 0.5000 0.2646 x2

---

Record 2
## Co5W3 (PBE)

Data for crystalline Co5W3 at its relaxed geometry.

Computed properties:
Calculated formation energy in meV per atom: 48.4

Unit cell a=7.3409 b=7.4749 c=3.6395 alpha=90.00 beta=90.00 gamma=90.00
Space group Cmmm (No. 65)
Symmetry-distinct sites (fractional):
Co 0.0000 0.0000 0.0000 x2
Co 0.2481 0.0000 0.5000 x4
Co 0.2500 0.2500 0.0000 x4
W 0.0000 0.2322 0.5000 x4
W 0.0000 0.5000 0.0000 x2

---

Record 3
## NbBO3 (PBE)

Data for crystalline NbBO3 at its relaxed geometry.

Computed properties:
Raw formation energy in eV/f.u.: -4.69

Unit cell a=3.9946 b=3.9946 c=3.9946 alpha=90.00 beta=90.00 gamma=90.00
Space group Pm-3m (No. 221)
Symmetry-distinct sites (fractional):
Nb 0.0000 0.0000 0.0000 x1
B 0.5000 0.5000 0.5000 x1
O 0.0000 0.0000 0.5000 x3

---

The evaluated V for the records listed, in turn: 23.0, 12.5, 12.7 Å³ per atom.